Entry 1:
Computed, not measured: an optimized crystal structure of NpGaH at the PBE level of DFT.

POSCAR file:
```
NpGaH
1.0
5.8642 0.1948 0.0000
-0.8034 5.8122 0.0000
-2.5304 -3.0035 5.3397
Np H Ga
4 4 4
Direct
0.6250 0.3750 0.7500
0.1250 0.3750 0.7500
0.6250 0.8750 0.2500
0.6250 0.3750 0.2500
0.7716 0.2284 0.0000
0.0216 0.9784 0.5000
0.2284 0.7716 0.0000
0.4784 0.5216 0.5000
0.8781 0.8781 0.7561
0.1219 0.1219 0.2439
0.1281 0.6281 0.2561
0.3719 0.8719 0.7439
```

Calculated values
M_tot in μB per formula unit: 3.8
Electronic total energy in eV/atom: -6.239
Density in g/cm³: 11.2
SG: Fddd (70)
Relative energy among the computed polymorphs in eV per formula unit: 0.22

=====

Entry 2:
Computed, not measured: an optimized crystal structure of Na10B17C3 at the PBE level of DFT.

POSCAR file:
```
Na10B17C3
1.0
-4.1400 1.2448 -6.2357
-0.8959 -2.8973 -6.9580
-5.1447 -5.0121 5.6645
Na B C
10 17 3
Direct
0.8012 0.7999 0.0028
0.9000 0.9010 0.5041
0.6007 0.5997 0.0000
0.7003 0.6969 0.4932
0.4001 0.3992 0.9970
0.5037 0.4991 0.5065
0.1993 0.2016 0.0039
0.2986 0.3005 0.4963
0.9985 0.0000 0.9958
0.0968 0.1031 0.5004
0.5848 0.9102 0.2500
0.5996 0.2901 0.7498
0.7133 0.9763 0.7501
0.5304 0.1812 0.2503
0.3931 0.6941 0.2499
0.3989 0.1010 0.7501
0.5239 0.7861 0.7498
0.3016 0.9874 0.2500
0.2055 0.5074 0.2499
0.2099 0.9009 0.7499
0.2738 0.6177 0.7500
0.0800 0.8206 0.2501
0.9900 0.3148 0.2502
0.0696 0.4304 0.7498
0.9126 0.5978 0.2502
0.8824 0.2263 0.7499
0.7189 0.3694 0.2500
0.0111 0.6846 0.7502
0.7862 0.1138 0.2502
0.8154 0.4890 0.7495
```

Calculated values
M_tot in μB per formula unit: 0.0
Electronic total energy in eV/atom: -4.924
Density in g/cm³: 2.3
SG: P1 (1)
ΔH_f (0 K) in eV/atom: 0.222
Relative energy among the computed polymorphs in eV per formula unit: 0.51

=====

Entry 3:
Computed, not measured: an optimized crystal structure of NdSeBr at the PBE level of DFT.

POSCAR file:
```
NdSeBr
1.0
5.0389 0.0000 0.0000
2.5195 4.3638 0.0000
2.5195 1.4546 4.1143
Nd Se Br
1 1 1
Direct
0.2500 0.2500 0.2500
0.0000 0.0000 0.0000
0.5000 0.5000 0.5000
```

Calculated values
Uncorrected formation energy in eV per formula unit: -5.3
M_tot in μB per formula unit: 0.0
Electronic total energy in eV/atom: -5.070
Density in g/cm³: 5.6
SG: F-43m (216)

=====

Entry 4:
Computed, not measured: an optimized crystal structure of BaTm2Au2O6 at the PBE level of DFT.

POSCAR file:
```
BaTm2Au2O6
1.0
-1.4111 -1.2396 -6.4394
-4.2435 -4.9019 0.7248
-1.3560 6.6959 -2.8904
Ba Tm Au O
1 2 2 6
Direct
0.5000 0.0000 0.5000
0.8670 0.3163 0.8165
0.1330 0.6837 0.1835
0.1211 0.6889 0.6892
0.8789 0.3111 0.3108
0.4978 0.6352 0.0287
0.8812 0.5135 0.1840
0.1257 0.8907 0.5617
0.1188 0.4865 0.8160
0.8743 0.1093 0.4383
0.5022 0.3648 0.9713
```

Calculated values
Uncorrected formation energy in eV per formula unit: -22.9
M_tot in μB per formula unit: 0.0
Electronic total energy in eV/atom: -6.374
Density in g/cm³: 7.0
SG: P-1 (2)

=====

Entry 5:
Computed, not measured: an optimized crystal structure of ZrMnCo5 at the PBE level of DFT.

POSCAR file:
```
ZrMnCo5
1.0
-2.4681 1.1163 -3.8013
-6.3809 0.6522 4.3346
2.0142 9.6212 1.5175
Zr Mn Co
4 4 20
Direct
0.2500 0.2405 0.9395
0.7500 0.2595 0.4395
0.2500 0.7405 0.5605
0.7500 0.7595 0.0605
0.2500 0.8628 0.8579
0.7500 0.6372 0.3579
0.2500 0.3628 0.6421
0.7500 0.1372 0.1421
0.2500 0.5982 0.0199
0.7500 0.9018 0.5199
0.2500 0.0982 0.4801
0.7500 0.4018 0.9801
0.7500 0.3103 0.7534
0.2500 0.1897 0.2534
0.7500 0.8103 0.7466
0.2500 0.6897 0.2466
0.2500 0.9492 0.0911
0.7500 0.5508 0.5911
0.2500 0.4492 0.4089
0.7500 0.0508 0.9089
0.9918 0.4324 0.1884
0.0082 0.0676 0.6884
0.5082 0.9324 0.3116
0.4918 0.5676 0.8116
0.0082 0.5676 0.8116
0.9918 0.9324 0.3116
0.4918 0.0676 0.6884
0.5082 0.4324 0.1884
```

Calculated values
M_tot in μB per formula unit: 9.4
Electronic total energy in eV/atom: -7.730
Density in g/cm³: 8.1
SG: Pnma (62)
ΔH_f (0 K) in eV/atom: -0.124

=====

Entry 6:
Computed, not measured: an optimized crystal structure of La2NbSnN at the PBE level of DFT.

POSCAR file:
```
La2NbSnN
1.0
-2.8210 4.3876 -0.7854
-3.8366 -1.9170 3.0711
1.8162 1.7718 3.3749
Nb N Sn La
1 1 1 2
Direct
0.0000 0.0000 0.5000
0.0000 0.0000 0.0000
0.5000 0.5000 0.5000
0.0000 0.5000 0.0000
0.5000 0.0000 0.0000
```

Calculated values
Uncorrected formation energy in eV per formula unit: -3.7
M_tot in μB per formula unit: 0.0
Electronic total energy in eV/atom: -7.200
Density in g/cm³: 7.1
SG: P4/mmm (123)

=====

Entry 7:
Computed, not measured: an optimized crystal structure of Ce4Pu2Hg3 at the PBE level of DFT.

POSCAR file:
```
Ce4Pu2Hg3
1.0
-0.1675 -3.3947 1.6328
-0.4560 -3.5214 -7.3682
7.9030 3.2980 3.3139
Ce Pu Hg
4 2 3
Direct
0.4253 0.2143 0.8506
0.7880 0.7447 0.5761
0.5747 0.7857 0.1494
0.2120 0.2553 0.4239
0.2698 0.9473 0.5396
0.7302 0.0527 0.4604
0.8953 0.5139 0.7907
0.1047 0.4861 0.2093
0.0000 0.0000 0.0000
```

Calculated values
M_tot in μB per formula unit: 0.0
Electronic total energy in eV/atom: -6.118
Density in g/cm³: 11.7
SG: C2/m (12)
ΔH_f (0 K) in eV/atom: -0.195
Relative energy among the computed polymorphs in eV per formula unit: 0.00

=====

Entry 8:
Computed, not measured: an optimized crystal structure of RbBaMoS4 at the PBE level of DFT.

POSCAR file:
```
RbBaMoS4
1.0
7.2663 0.0000 0.0773
0.0000 6.8705 0.0000
-2.7535 0.0000 8.9763
Rb Ba Mo S
2 2 2 8
Direct
0.7176 0.7500 0.9344
0.2824 0.2500 0.0656
0.7621 0.7500 0.4501
0.2379 0.2500 0.5499
0.2057 0.7500 0.3039
0.7943 0.2500 0.6961
0.9928 0.5065 0.7387
0.0072 0.0065 0.2613
0.0072 0.4935 0.2613
0.9928 0.9935 0.7387
0.4037 0.7500 0.1585
0.5963 0.2500 0.8415
0.3686 0.7500 0.5473
0.6314 0.2500 0.4527
```

Calculated values
Uncorrected formation energy in eV per formula unit: -8.2
M_tot in μB per formula unit: 1.0
Electronic total energy in eV/atom: -5.489
Density in g/cm³: 3.3
SG: P2_1/m (11)